Compound: CaErIr2
Source: Alexandria
Functional: GGA-PBE
Structure: optimized geometry

The structure belongs to space group Fm-3m (No. 225); the cell edges are 6.788, 6.788 and 6.788 Å and the angles 90.00°, 90.00° and 90.00°. The distinct sites, in fractional coordinates, are Ca at (0.000, 0.000, 0.000), Er at (0.000, 0.000, 0.500) and Ir at (0.250, 0.250, 0.250).

The value obtained for the theoretical density is 12.57 g/cm³. Its formation enthalpy at 0 K is -0.512 eV/atom. For the magnetic moment, the calculation gives 0.00 Bohr magnetons per cell. The value obtained for the final energy is -6.5835 eV per atom.

---

Compound: AlSb2Mo
Source: Alexandria
Functional: GGA-PBE
Structure: optimized geometry

The structure belongs to space group Amm2 (No. 38); the cell edges are 4.497, 3.664 and 9.945 Å and the angles 90.00°, 90.00° and 90.00°. The distinct sites, in fractional coordinates, are Al at (0.000, 0.000, 0.000), Sb at (0.000, 0.000, 0.725), Sb at (0.500, 0.000, 0.429) and Mo at (0.500, 0.000, 0.141).

The value obtained for the theoretical density is 7.43 g/cm³. For the magnetic moment, the calculation gives 0.00 Bohr magnetons per cell. The value obtained for the final energy is -5.6383 eV per atom. The calculation puts the uncorrected formation energy at 1.530 kcal/mol of atoms.

---

Compound: SiTeIr2
Source: Alexandria
Functional: GGA-PBE
Structure: optimized geometry

The structure belongs to space group I4/mmm (No. 139); the cell edges are 4.288, 4.288 and 7.124 Å and the angles 90.00°, 90.00° and 90.00°. The distinct sites, in fractional coordinates, are Si at (0.000, 0.000, 0.000), Te at (0.000, 0.000, 0.500) and Ir at (0.000, 0.500, 0.250).

The value obtained for the theoretical density is 13.69 g/cm³. For the magnetic moment, the calculation gives 0.00 Bohr magnetons per cell. The value obtained for the final energy is -6.2293 eV per atom. The calculation puts the uncorrected formation energy at 7.896 kcal/mol of atoms.

---

Compound: Sm2Ho12Tm5
Source: Alexandria
Functional: GGA-PBE
Structure: optimized geometry

The structure belongs to space group C2/m (No. 12); the cell edges are 15.666, 9.146 and 8.440 Å and the angles 90.00°, 90.88° and 90.00°. The distinct sites, in fractional coordinates, are Sm at (0.000, 0.183, 0.000), Ho at (0.058, 0.000, 0.330), Ho at (0.094, 0.500, 0.883), Ho at (0.126, 0.192, 0.654), Ho at (0.157, 0.319, 0.244), Tm at (0.000, 0.500, 0.500), Tm at (0.197, 0.000, 0.009) and Tm at (0.232, 0.500, 0.576).

The value obtained for the theoretical density is 8.58 g/cm³. Its formation enthalpy at 0 K is 0.133 eV/atom. For the magnetic moment, the calculation gives 0.00 Bohr magnetons per cell. The value obtained for the final energy is -4.4316 eV per atom.

---

Compound: BaLiMo2
Source: Alexandria
Functional: GGA-PBE
Structure: optimized geometry

The structure belongs to space group P4/mmm (No. 123); the cell edges are 3.531, 3.531 and 7.353 Å and the angles 90.00°, 90.00° and 90.00°. The distinct sites, in fractional coordinates, are Ba at (0.000, 0.000, 0.000), Li at (0.000, 0.000, 0.500) and Mo at (0.500, 0.500, 0.354).

The value obtained for the theoretical density is 6.09 g/cm³. Its formation enthalpy at 0 K is 0.912 eV/atom. For the magnetic moment, the calculation gives 0.00 Bohr magnetons per cell. The value obtained for the final energy is -5.4628 eV per atom.

---

Compound: Hf2Ga3Ag
Source: Alexandria
Functional: GGA-PBE
Structure: optimized geometry

The structure belongs to space group C2/c (No. 15); the cell edges are 14.488, 5.681 and 5.499 Å and the angles 90.00°, 101.39° and 90.00°. The distinct sites, in fractional coordinates, are Hf at (0.169, 0.135, 0.094), Ga at (0.000, 0.015, 0.750), Ga at (0.160, 0.365, 0.571) and Ag at (0.000, 0.485, 0.250).

The value obtained for the theoretical density is 10.09 g/cm³. Its formation enthalpy at 0 K is -0.250 eV/atom. For the magnetic moment, the calculation gives 0.00 Bohr magnetons per cell. The value obtained for the final energy is -5.5560 eV per atom.